[1]
# LaTa4Ni, relaxed, DFT PBE
data_LaTa4Ni
_cell_length_a 5.6131
_cell_length_b 5.6131
_cell_length_c 5.6131
_cell_angle_alpha 60.00
_cell_angle_beta 60.00
_cell_angle_gamma 60.00
_symmetry_space_group_name_H-M 'P 1'
_symmetry_Int_Tables_number 1
loop_
_symmetry_equiv_pos_as_xyz
'x,y,z'
loop_
_atom_site_label
_atom_site_type_symbol
_atom_site_fract_x
_atom_site_fract_y
_atom_site_fract_z
Ni1 Ni 0.0000 0.0000 0.0000
Ta1 Ta 0.8729 0.3757 0.3757
Ta2 Ta 0.3757 0.3757 0.3757
Ta3 Ta 0.3757 0.3757 0.8729
Ta4 Ta 0.3757 0.8729 0.3757
La1 La 0.7500 0.7500 0.7500
# - spin magnetization (μB per formula unit) = 0.000
# - total energy (eV per atom) = -9.10
# - formation enthalpy at 0 K (kJ/mol of formula units) = 341

---

[2]
# LaTa2Ni, relaxed, DFT PBE
data_LaTa2Ni
_cell_length_a 2.9500
_cell_length_b 2.9500
_cell_length_c 8.8788
_cell_angle_alpha 90.00
_cell_angle_beta 90.00
_cell_angle_gamma 90.00
_symmetry_space_group_name_H-M 'P 1'
_symmetry_Int_Tables_number 1
loop_
_symmetry_equiv_pos_as_xyz
'x,y,z'
loop_
_atom_site_label
_atom_site_type_symbol
_atom_site_fract_x
_atom_site_fract_y
_atom_site_fract_z
Ni1 Ni 0.5000 0.5000 0.7500
La1 La 0.5000 0.5000 0.2500
Ta1 Ta 0.0000 0.0000 0.5607
Ta2 Ta 0.0000 0.0000 0.9393
# - E above lowest polymorph (eV per atom) = 0.156
# - spin magnetization (μB per formula unit) = 0.000
# - total energy (eV per atom) = -8.33
# - formation enthalpy at 0 K (kJ/mol of formula units) = 107

---

[3]
# LaTaNi2, relaxed, DFT PBE
data_LaTaNi2
_cell_length_a 5.4388
_cell_length_b 5.4388
_cell_length_c 5.4388
_cell_angle_alpha 138.21
_cell_angle_beta 138.21
_cell_angle_gamma 60.59
_symmetry_space_group_name_H-M 'P 1'
_symmetry_Int_Tables_number 1
loop_
_symmetry_equiv_pos_as_xyz
'x,y,z'
loop_
_atom_site_label
_atom_site_type_symbol
_atom_site_fract_x
_atom_site_fract_y
_atom_site_fract_z
Ni1 Ni 0.2500 0.7500 0.5000
Ta1 Ta 0.5000 0.5000 0.0000
La1 La 0.7500 0.2500 0.5000
Ni2 Ni 0.0000 0.0000 0.0000
# - E above lowest polymorph (eV per atom) = 0.476
# - spin magnetization (μB per formula unit) = 0.049
# - total energy (eV per atom) = -6.78
# - formation enthalpy at 0 K (kJ/mol of formula units) = 118

---

[4]
# LaTa2Ni2, relaxed, DFT PBE
data_LaTa2Ni2
_cell_length_a 4.4391
_cell_length_b 4.4391
_cell_length_c 5.9821
_cell_angle_alpha 68.22
_cell_angle_beta 68.22
_cell_angle_gamma 90.00
_symmetry_space_group_name_H-M 'P 1'
_symmetry_Int_Tables_number 1
loop_
_symmetry_equiv_pos_as_xyz
'x,y,z'
loop_
_atom_site_label
_atom_site_type_symbol
_atom_site_fract_x
_atom_site_fract_y
_atom_site_fract_z
Ta1 Ta 0.6438 0.6438 0.7123
Ni1 Ni 0.7500 0.2500 0.5000
La1 La 0.0000 0.0000 0.0000
Ni2 Ni 0.2500 0.7500 0.5000
Ta2 Ta 0.3562 0.3562 0.2877
# - E above lowest polymorph (eV per atom) = 0.186
# - spin magnetization (μB per formula unit) = 0.000
# - total energy (eV per atom) = -7.87
# - formation enthalpy at 0 K (kJ/mol of formula units) = 83